Record 1
{"formula": "Y4SbOs", "functional": "PBE", "state": "optimized geometry", "lattice": [[0.0000, 4.2494, 4.2494], [4.2494, 0.0000, 4.2494], [4.2494, 4.2494, 0.0000]], "species": ["Y", "Y", "Y", "Y", "Sb", "Os"], "frac_coords": [[0.1236, 0.1236, 0.1236], [0.1236, 0.1236, 0.6293], [0.1236, 0.6293, 0.1236], [0.6293, 0.1236, 0.1236], [0.5000, 0.5000, 0.5000], [0.7500, 0.7500, 0.7500]], "relative_energy_ev_per_atom": 1.185, "magmom_total_mub_per_fu": 0.1, "crystal_system": "cubic", "formation_energy_uncorrected_ev_per_atom": 0.636}

Record 2
{"formula": "YSbOs4", "functional": "PBE", "state": "optimized geometry", "lattice": [[0.0000, 3.7731, 3.7731], [3.7731, 0.0000, 3.7731], [3.7731, 3.7731, 0.0000]], "species": ["Y", "Sb", "Os", "Os", "Os", "Os"], "frac_coords": [[0.0000, 0.0000, 0.0000], [0.2500, 0.2500, 0.2500], [0.1263, 0.6246, 0.6246], [0.6246, 0.1263, 0.6246], [0.6246, 0.6246, 0.1263], [0.6246, 0.6246, 0.6246]], "magmom_total_mub_per_fu": 0.0, "crystal_system": "cubic", "formation_energy_uncorrected_ev_per_atom": 0.254}

Record 3
{"formula": "YSbOs2", "functional": "PBE", "state": "optimized geometry", "lattice": [[3.0078, -4.6656, 0.0000], [3.0078, 4.6656, 0.0000], [-1.4405, 0.0000, 2.6676]], "species": ["Y", "Sb", "Os", "Os"], "frac_coords": [[0.0000, 0.0000, 0.0000], [0.5000, 0.5000, 0.0000], [0.0000, 0.5000, 0.5000], [0.5000, 0.0000, 0.5000]], "magmom_total_mub_per_fu": 0.0, "crystal_system": "monoclinic", "formation_energy_uncorrected_ev_per_atom": 0.438}